This record from Alexandria describes CaAsOs3 after structural relaxation. The functional is PBE-GGA.

Geometry as CIF:
```
data_CaAsOs3
_chemical_formula_sum 'Ca1 As1 Os3'
_symmetry_space_group_name_H-M 'P m -3 m'
_symmetry_Int_Tables_number 221
_symmetry_space_group_name_Hall '-P 4 2 3'
_cell_length_a 4.6820
_cell_length_b 4.6820
_cell_length_c 4.6820
_cell_angle_alpha 90.00
_cell_angle_beta 90.00
_cell_angle_gamma 90.00
loop_
_atom_site_label
_atom_site_type_symbol
_atom_site_fract_x
_atom_site_fract_y
_atom_site_fract_z
Ca1 Ca 0.0000 0.0000 0.0000
As1 As 0.5000 0.5000 0.5000
Os1 Os 0.0000 0.0000 0.5000
```

Results
- Formation enthalpy at 0 K: 3.188 eV/atom
- Magnetic moment: 0.80 μB per formula unit